Entry 1:
Below is a relaxed structure of Ca3Ga8Ni3, with properties calculated at the GGA-PBE level.

a = 4.1981 Å, b = 8.1354 Å, c = 8.1354 Å
α = 73.99°, β = 75.05°, γ = 75.05°
With the nearest neighbours (Å) after each atom.
Atoms (fractional coordinates):
1 Ca 0.5000 0.5000 0.5000  12 Ga 3.18-3.26, 4 Ni 3.41
2 Ca 0.8221 0.1779 0.1779  4 Ni 3.03-3.11, 8 Ga 3.03-3.14
3 Ca 0.1779 0.8221 0.8221  4 Ni 3.03-3.11, 8 Ga 3.03-3.14
4 Ga 0.6147 0.0944 0.6762  3 Ni 2.49-2.53, 3 Ga 2.65-2.74
5 Ga 0.3853 0.9056 0.3238  3 Ni 2.49-2.53, 3 Ga 2.65-2.74
6 Ga 0.6147 0.6762 0.0944  3 Ni 2.49-2.53, 3 Ga 2.65-2.74
7 Ga 0.3853 0.3238 0.9056  3 Ni 2.49-2.53, 3 Ga 2.65-2.74
8 Ga 0.8309 0.8100 0.5283  1 Ni 2.46, 3 Ga 2.65-2.74
9 Ga 0.1691 0.1900 0.4717  1 Ni 2.46, 3 Ga 2.65-2.74
10 Ga 0.8309 0.5283 0.8100  1 Ni 2.46, 3 Ga 2.65-2.74
11 Ga 0.1691 0.4717 0.1900  1 Ni 2.46, 3 Ga 2.65-2.74
12 Ni 0.5000 0.0000 0.0000  4 Ga 2.49
13 Ni 0.0000 0.7748 0.2252  6 Ga 2.46-2.53
14 Ni 0.0000 0.2252 0.7748  6 Ga 2.46-2.53

Total energy (eV per atom): -3.8443
Energy relative to the lowest polymorph listed for this composition (eV/atom): 0.000
Calculated formation energy (eV/atom): -0.45



Entry 2:
Below is a relaxed structure of Sc2BrClF, with properties calculated at the GGA-PBE level.

a = 4.7836 Å, b = 4.9055 Å, c = 4.7836 Å
α = 90.00°, β = 90.00°, γ = 90.00°
With the nearest neighbours (Å) after each atom.
Atoms (fractional coordinates):
1 Sc 0.0000 0.0000 0.5000  2 Cl 2.39
2 Sc 0.5000 0.0000 0.0000  2 Cl 2.39
3 F 0.0000 0.5000 0.0000  2 Cl 2.45
4 Br 0.5000 0.5000 0.5000  4 F 3.38, 8 Sc 3.43
5 Cl 0.0000 0.0000 0.0000  4 Sc 2.39, 2 F 2.45

Energy relative to the elements, uncorrected (meV/atom): -951
Total energy (eV per atom): -4.5614



Entry 3:
Below is a relaxed structure of LaMoPb2, with properties calculated at the GGA-PBE level.

a = 5.2017 Å, b = 5.2017 Å, c = 5.7729 Å
α = 71.50°, β = 71.50°, γ = 46.18°
With the nearest neighbours (Å) after each atom.
Atoms (fractional coordinates):
1 La 0.7500 0.7500 0.7500  6 Pb 3.28-3.30, 4 Mo 3.53
2 Mo 0.2500 0.2500 0.2500  6 Pb 2.92-3.14
3 Pb 0.9795 0.9795 0.0600  3 Mo 2.92-3.14, 2 Pb 3.12
4 Pb 0.5205 0.5205 0.4400  3 Mo 2.92-3.14, 2 Pb 3.12

Total energy (eV per atom): -5.6325
Energy relative to the lowest polymorph listed for this composition (eV/atom): 0.000
Calculated formation energy (eV/atom): 0.16



Entry 4:
Below is a relaxed structure of LiScSbIr, with properties calculated at the GGA-PBE level.

a = 4.5634 Å, b = 4.5634 Å, c = 4.5634 Å
α = 60.00°, β = 60.00°, γ = 60.00°
With the nearest neighbours (Å) after each atom.
Atoms (fractional coordinates):
1 Sc 0.0000 0.0000 0.0000  4 Ir 2.79, 4 Li 2.79
2 Sb 0.5000 0.5000 0.5000  4 Li 2.79, 4 Ir 2.79
3 Ir 0.7500 0.7500 0.7500  4 Sb 2.79, 4 Sc 2.79
4 Li 0.2500 0.2500 0.2500  4 Sb 2.79, 4 Sc 2.79

Energy relative to the elements, uncorrected (meV/atom): -792
Total energy (eV per atom): -6.0996



Entry 5:
Below is a relaxed structure of GaCu2Cl4, with properties calculated at the GGA-PBE level.

a = 5.4027 Å, b = 5.4027 Å, c = 7.2367 Å
α = 111.92°, β = 111.92°, γ = 90.00°
With the nearest neighbours (Å) after each atom.
Atoms (fractional coordinates):
1 Ga 0.5000 0.5000 0.0000  4 Cl 2.61
2 Cu 0.7500 0.2500 0.5000  4 Cl 2.32
3 Cu 0.2500 0.7500 0.5000  4 Cl 2.32
4 Cl 0.8960 0.3892 0.2852  2 Cu 2.32
5 Cl 0.3892 0.8960 0.2852  2 Cu 2.32
6 Cl 0.6108 0.6108 0.7148  2 Cu 2.32
7 Cl 0.1040 0.1040 0.7148  2 Cu 2.32

Energy relative to the elements, uncorrected (meV/atom): -552
Total energy (eV per atom): -3.2101



Entry 6:
Below is a relaxed structure of Ac2AgF8, with properties calculated at the GGA-PBE level.

a = 4.2831 Å, b = 5.6388 Å, c = 7.5679 Å
α = 110.15°, β = 106.44°, γ = 90.00°
With the nearest neighbours (Å) after each atom.
Atoms (fractional coordinates):
1 Ac 0.1636 0.6637 0.3271  10 F 2.47-2.76
2 Ac 0.8364 0.3363 0.6729  10 F 2.47-2.76
3 Ag 0.5000 0.0000 0.0000  2 F 2.07
4 F 0.5956 0.8011 0.1912  1 Ag 2.07
5 F 0.3343 0.6092 0.6687  3 Ac 2.60-2.64, 4 F 2.61-2.85, 1 Ag 2.61
6 F 0.2190 0.1315 0.4379  3 Ac 2.47-2.72, 2 F 2.58-2.61
7 F 0.0153 0.2677 0.0306  2 Ac 2.48-2.76, 2 Ag 2.58, 2 F 2.62
8 F 0.7810 0.8685 0.5621  3 Ac 2.47-2.72, 2 F 2.58-2.61
9 F 0.6657 0.3908 0.3313  3 Ac 2.60-2.64, 4 F 2.61-2.85, 1 Ag 2.61
10 F 0.4044 0.1989 0.8088  1 Ag 2.07
11 F 0.9847 0.7323 0.9694  2 Ac 2.48-2.76, 2 Ag 2.58, 2 F 2.62

Energy relative to the elements, uncorrected (meV/atom): -3317
Total energy (eV per atom): -5.6838



Entry 7:
Below is a relaxed structure of Hf4P2H, with properties calculated at the GGA-PBE level.

a = 3.4973 Å, b = 6.0530 Å, c = 6.6629 Å
α = 116.97°, β = 105.22°, γ = 90.00°
With the nearest neighbours (Å) after each atom.
Atoms (fractional coordinates):
1 Hf 0.8908 0.2232 0.7816  1 H 2.36, 3 P 2.56-2.57
2 Hf 0.1092 0.7768 0.2184  1 H 2.36, 3 P 2.56-2.57
3 Hf 0.6102 0.2762 0.2205  2 H 2.37, 3 P 2.57-2.58
4 Hf 0.3898 0.7238 0.7795  2 H 2.37, 3 P 2.57-2.58
5 P 0.7487 0.7499 0.4974  6 Hf 2.56-2.58, 1 H 2.85
6 P 0.2513 0.2501 0.5026  6 Hf 2.56-2.58, 1 H 2.85
7 H 0.0000 0.0000 0.0000  6 Hf 2.36-2.37

Total energy (eV per atom): -8.5187



Entry 8:
Below is a relaxed structure of Dy3AlAg, with properties calculated at the GGA-PBE level.

a = 6.6757 Å, b = 6.6757 Å, c = 14.2174 Å
α = 85.53°, β = 85.53°, γ = 55.79°
With the nearest neighbours (Å) after each atom.
Atoms (fractional coordinates):
1 Dy 0.6358 0.0310 0.7947  2 Ag 3.01-3.07
2 Dy 0.9690 0.3642 0.7053  2 Ag 3.01-3.07
3 Dy 0.3642 0.9690 0.2053  2 Ag 3.01-3.07
4 Dy 0.0310 0.6358 0.2947  2 Ag 3.01-3.07
5 Dy 0.5090 0.8707 0.5977  2 Ag 3.06-3.08, 4 Dy 3.13-3.40, 3 Al 3.18-3.40
6 Dy 0.1293 0.4910 0.9023  2 Ag 3.06-3.08, 4 Dy 3.13-3.40, 3 Al 3.18-3.40
7 Dy 0.4910 0.1293 0.4023  2 Ag 3.06-3.08, 4 Dy 3.13-3.40, 3 Al 3.18-3.40
8 Dy 0.8707 0.5090 0.0977  2 Ag 3.06-3.08, 4 Dy 3.13-3.40, 3 Al 3.18-3.40
9 Dy 0.1750 0.9514 0.8923  2 Ag 2.92-2.98, 2 Al 3.11-3.19, 1 Dy 3.25
10 Dy 0.0486 0.8250 0.6077  2 Ag 2.92-2.98, 2 Al 3.11-3.19, 1 Dy 3.25
11 Dy 0.9514 0.1750 0.3923  2 Ag 2.92-2.98, 2 Al 3.11-3.19, 1 Dy 3.25
12 Dy 0.8250 0.0486 0.1077  2 Ag 2.92-2.98, 2 Al 3.11-3.19, 1 Dy 3.25
13 Al 0.6657 0.4303 0.9194  1 Ag 2.78, 1 Al 2.87
14 Al 0.5697 0.3342 0.5806  1 Ag 2.78, 1 Al 2.87
15 Al 0.3342 0.5697 0.0806  1 Ag 2.78, 1 Al 2.87
16 Al 0.4303 0.6657 0.4194  1 Ag 2.78, 1 Al 2.87
17 Ag 0.0000 0.5000 0.5000  6 Dy 2.92-3.08
18 Ag 0.5000 0.0000 0.0000  6 Dy 2.92-3.08
19 Ag 0.5682 0.4318 0.2500  2 Al 2.78, 6 Dy 2.98-3.07
20 Ag 0.4318 0.5682 0.7500  2 Al 2.78, 6 Dy 2.98-3.07

Total energy (eV per atom): -4.1953
Energy relative to the lowest polymorph listed for this composition (eV/atom): 0.134
Calculated formation energy (eV/atom): -0.12



Entry 9:
Below is a relaxed structure of Li2AgF3, with properties calculated at the GGA-PBE level.

a = 5.4105 Å, b = 5.5040 Å, c = 9.2568 Å
α = 90.00°, β = 90.00°, γ = 90.00°
With the nearest neighbours (Å) after each atom.
Atoms (fractional coordinates):
1 Li 0.4601 0.9986 0.3379  6 F 2.04-2.18
2 Li 0.4601 0.5014 0.3379  6 F 2.04-2.18
3 Li 0.9601 0.4986 0.1621  6 F 2.04-2.18
4 Li 0.9601 0.0014 0.1621  6 F 2.04-2.18
5 Li 0.0399 0.9986 0.8379  6 F 2.04-2.18
6 Li 0.0399 0.5014 0.8379  6 F 2.04-2.18
7 Li 0.5399 0.4986 0.6621  6 F 2.04-2.18
8 Li 0.5399 0.0014 0.6621  6 F 2.04-2.18
9 Ag 0.9688 0.7500 0.4893  2 F 2.19-2.22
10 Ag 0.4688 0.2500 0.0107  2 F 2.19-2.22
11 Ag 0.5312 0.7500 0.9893  2 F 2.19-2.22
12 Ag 0.0312 0.2500 0.5107  2 F 2.19-2.22
13 F 0.4954 0.2500 0.5010  4 Li 2.04-2.06
14 F 0.1620 0.7500 0.2819  4 Li 2.08-2.18, 1 Ag 2.19
15 F 0.1622 0.2500 0.2832  4 Li 2.08-2.18, 1 Ag 2.22
16 F 0.6622 0.7500 0.2168  4 Li 2.08-2.18, 1 Ag 2.22
17 F 0.6620 0.2500 0.2181  4 Li 2.08-2.18, 1 Ag 2.19
18 F 0.9954 0.7500 0.9990  4 Li 2.04-2.06
19 F 0.0046 0.2500 0.0010  4 Li 2.04-2.06
20 F 0.3380 0.7500 0.7819  4 Li 2.08-2.18, 1 Ag 2.19
21 F 0.3378 0.2500 0.7832  4 Li 2.08-2.18, 1 Ag 2.22
22 F 0.8378 0.7500 0.7168  4 Li 2.08-2.18, 1 Ag 2.22
23 F 0.8380 0.2500 0.7181  4 Li 2.08-2.18, 1 Ag 2.19
24 F 0.5046 0.7500 0.4990  4 Li 2.04-2.06

Energy relative to the elements, uncorrected (meV/atom): -2203
Total energy (eV per atom): -4.2514
Energy relative to the lowest polymorph listed for this composition (eV/atom): 0.066



Entry 10:
Below is a relaxed structure of Dy2MgCo, with properties calculated at the GGA-PBE level.

a = 3.7859 Å, b = 3.7859 Å, c = 8.7132 Å
α = 77.45°, β = 77.45°, γ = 60.00°
With the nearest neighbours (Å) after each atom.
Atoms (fractional coordinates):
1 Dy 0.0590 0.0590 0.8230  3 Co 2.66
2 Dy 0.2743 0.2743 0.1770  3 Co 2.64
3 Mg 0.5006 0.5006 0.4981  6 Dy 3.48-3.51, 6 Mg 3.79
4 Co 0.6660 0.6660 0.0019  6 Dy 2.64-2.66

Total energy (eV per atom): -4.4973
Energy relative to the lowest polymorph listed for this composition (eV/atom): 0.116
Calculated formation energy (eV/atom): -0.02